#1
Entry from the Alexandria database: a relaxed structure of AlZn6Ag (PBE).

Cell lengths 5.2587, 5.2587, 5.2587 Å; angles 88.24, 88.24, 88.24 degrees
Last column: nearest neighbours and their distance in Å.
Atoms (fractional coordinates):
Al1 0.0000 0.0000 0.0000  6 Zn 2.56
Zn1 0.0332 0.6613 0.6613  3 Zn 2.47-2.72, 1 Al 2.56, 1 Ag 2.69
Zn2 0.3387 0.3387 0.9668  3 Zn 2.47-2.72, 1 Al 2.56, 1 Ag 2.69
Zn3 0.3387 0.9668 0.3387  3 Zn 2.47-2.72, 1 Al 2.56, 1 Ag 2.69
Zn4 0.6613 0.0332 0.6613  3 Zn 2.47-2.72, 1 Al 2.56, 1 Ag 2.69
Zn5 0.6613 0.6613 0.0332  3 Zn 2.47-2.72, 1 Al 2.56, 1 Ag 2.69
Zn6 0.9668 0.3387 0.3387  3 Zn 2.47-2.72, 1 Al 2.56, 1 Ag 2.69
Ag1 0.5000 0.5000 0.5000  6 Zn 2.69

## Properties
Spin magnetization, μB per formula unit: 0.0
Volume, Å³/f.u.: 145.2
Space-group type: R-3m (166)

#2
Entry from the Alexandria database: a relaxed structure of AlZn6Ag (PBE).

Cell lengths 5.6603, 5.6603, 3.9186 Å; angles 90.00, 90.00, 90.00 degrees
Last column: nearest neighbours and their distance in Å.
Atoms (fractional coordinates):
Al1 0.0000 0.0000 0.0000  12 Zn 2.78-2.83
Zn1 0.0000 0.5000 0.0000  8 Zn 2.80, 2 Ag 2.83, 2 Al 2.83
Zn2 0.2456 0.2456 0.5000  2 Al 2.78, 8 Zn 2.78-2.88, 2 Ag 2.83
Zn3 0.2456 0.7544 0.5000  2 Al 2.78, 8 Zn 2.78-2.88, 2 Ag 2.83
Zn4 0.5000 0.0000 0.0000  8 Zn 2.80, 2 Ag 2.83, 2 Al 2.83
Zn5 0.7544 0.2456 0.5000  2 Al 2.78, 8 Zn 2.78-2.88, 2 Ag 2.83
Zn6 0.7544 0.7544 0.5000  2 Al 2.78, 8 Zn 2.78-2.88, 2 Ag 2.83
Ag1 0.5000 0.5000 0.0000  12 Zn 2.83

## Properties
Spin magnetization, μB per formula unit: 0.0
Volume, Å³/f.u.: 125.5
Space-group type: P4/mmm (123)

Result of the stability comparison: #2 is the most stable of them.

#1
Entry from the Alexandria database: a relaxed structure of Al4ZnAg5 (PBE).

Cell lengths 6.9465, 6.9465, 8.6021 Å; angles 90.22, 90.22, 25.29 degrees
Last column: nearest neighbours and their distance in Å.
Atoms (fractional coordinates):
Al1 0.0094 0.0094 0.2480  2 Zn 2.62, 4 Ag 2.65-2.74, 2 Al 2.83
Al2 0.3333 0.3333 0.2464  4 Ag 2.67-2.97, 2 Al 2.83
Al3 0.6667 0.6667 0.7536  4 Ag 2.67-2.97, 2 Al 2.83
Al4 0.9906 0.9906 0.7520  2 Zn 2.62, 4 Ag 2.65-2.74, 2 Al 2.83
Zn1 0.5000 0.5000 0.0000  4 Al 2.62, 4 Ag 2.76
Ag1 0.1671 0.1671 0.0504  4 Al 2.74-2.97, 2 Zn 2.76, 4 Ag 2.85-3.04
Ag2 0.1742 0.1742 0.4285  2 Al 2.67-2.72, 4 Ag 2.83-2.88
Ag3 0.5000 0.5000 0.5000  4 Al 2.65, 4 Ag 2.88
Ag4 0.8258 0.8258 0.5715  2 Al 2.67-2.72, 4 Ag 2.83-2.88
Ag5 0.8329 0.8329 0.9496  4 Al 2.74-2.97, 2 Zn 2.76, 4 Ag 2.85-3.04

## Properties
Spin magnetization, μB per formula unit: 0.0
Volume, Å³/f.u.: 177.3
Space-group type: C2/m (12)

#2
Entry from the Alexandria database: a relaxed structure of Al4ZnAg5 (PBE).

Cell lengths 5.6350, 9.1145, 7.4702 Å; angles 90.00, 90.00, 90.00 degrees
Last column: nearest neighbours and their distance in Å.
Atoms (fractional coordinates):
Al1 0.0044 0.2500 0.0309  1 Zn 2.64, 5 Ag 2.65-2.89, 2 Al 2.77-2.87
Al2 0.2500 0.5673 0.5163  1 Zn 2.50, 2 Ag 2.63
Al3 0.2500 0.9327 0.5163  1 Zn 2.50, 2 Ag 2.63
Al4 0.4956 0.2500 0.0309  1 Zn 2.64, 5 Ag 2.65-2.89, 2 Al 2.77-2.87
Al5 0.5044 0.7500 0.9691  1 Zn 2.64, 5 Ag 2.65-2.89, 2 Al 2.77-2.87
Al6 0.7500 0.0673 0.4837  1 Zn 2.50, 2 Ag 2.63
Al7 0.7500 0.4327 0.4837  1 Zn 2.50, 2 Ag 2.63
Al8 0.9956 0.7500 0.9691  1 Zn 2.64, 5 Ag 2.65-2.89, 2 Al 2.77-2.87
Zn1 0.2500 0.7500 0.2660  4 Al 2.50-2.64, 4 Ag 2.69
Zn2 0.7500 0.2500 0.7340  4 Al 2.50-2.64, 4 Ag 2.69
Ag1 0.0037 0.0061 0.8021  4 Al 2.63-2.83, 1 Zn 2.69, 2 Ag 2.78-2.86
Ag2 0.0037 0.4939 0.8021  4 Al 2.63-2.83, 1 Zn 2.69, 2 Ag 2.78-2.86
Ag3 0.2500 0.2500 0.3699  4 Al 2.89-3.09, 4 Ag 3.02
Ag4 0.4963 0.0061 0.8021  4 Al 2.63-2.83, 1 Zn 2.69, 2 Ag 2.78-2.86
Ag5 0.4963 0.4939 0.8021  4 Al 2.63-2.83, 1 Zn 2.69, 2 Ag 2.78-2.86
Ag6 0.5037 0.5061 0.1979  4 Al 2.63-2.83, 1 Zn 2.69, 2 Ag 2.78-2.86
Ag7 0.5037 0.9939 0.1979  4 Al 2.63-2.83, 1 Zn 2.69, 2 Ag 2.78-2.86
Ag8 0.7500 0.7500 0.6301  4 Al 2.89-3.09, 4 Ag 3.02
Ag9 0.9963 0.5061 0.1979  4 Al 2.63-2.83, 1 Zn 2.69, 2 Ag 2.78-2.86
Ag10 0.9963 0.9939 0.1979  4 Al 2.63-2.83, 1 Zn 2.69, 2 Ag 2.78-2.86

## Properties
Spin magnetization, μB per formula unit: 0.0
Volume, Å³/f.u.: 191.8
Space-group type: Pmmn (59)

Result of the stability comparison: #1 is the most stable of them.

#1
Entry from the Alexandria database: a relaxed structure of AlZn4Ag6 (PBE).

Cell lengths 4.5195, 4.5195, 20.5908 Å; angles 90.00, 90.00, 119.57 degrees
Last column: nearest neighbours and their distance in Å.
Atoms (fractional coordinates):
Al1 0.1719 0.8281 0.7500  3 Ag 2.61-2.62
Al2 0.8281 0.1719 0.2500  3 Ag 2.61-2.62
Zn1 0.1645 0.8355 0.0424  8 Ag 2.75-2.83
Zn2 0.1645 0.8355 0.4576  8 Ag 2.75-2.83
Zn3 0.4945 0.5055 0.1254  8 Ag 2.57-2.84
Zn4 0.4945 0.5055 0.3746  8 Ag 2.57-2.84
Zn5 0.5055 0.4945 0.6254  8 Ag 2.57-2.84
Zn6 0.5055 0.4945 0.8746  8 Ag 2.57-2.84
Zn7 0.8355 0.1645 0.5424  8 Ag 2.75-2.83
Zn8 0.8355 0.1645 0.9576  8 Ag 2.75-2.83
Ag1 0.1605 0.8395 0.1786  4 Zn 2.80-2.84, 5 Ag 2.94-3.11, 3 Al 2.98-3.01
Ag2 0.1605 0.8395 0.3214  4 Zn 2.80-2.84, 5 Ag 2.94-3.11, 3 Al 2.98-3.01
Ag3 0.1707 0.8293 0.5950  7 Zn 2.69-2.83
Ag4 0.1707 0.8293 0.9050  7 Zn 2.69-2.83
Ag5 0.4939 0.5061 0.2500  2 Zn 2.57, 3 Al 2.61-2.62
Ag6 0.5000 0.5000 0.0000  8 Zn 2.58-2.76
Ag7 0.5000 0.5000 0.5000  8 Zn 2.58-2.76
Ag8 0.5061 0.4939 0.7500  2 Zn 2.57, 3 Al 2.61-2.62
Ag9 0.8293 0.1707 0.0950  7 Zn 2.69-2.83
Ag10 0.8293 0.1707 0.4050  7 Zn 2.69-2.83
Ag11 0.8395 0.1605 0.6786  4 Zn 2.80-2.84, 5 Ag 2.94-3.11, 3 Al 2.98-3.01
Ag12 0.8395 0.1605 0.8214  4 Zn 2.80-2.84, 5 Ag 2.94-3.11, 3 Al 2.98-3.01

## Properties
Spin magnetization, μB per formula unit: 0.0
Volume, Å³/f.u.: 182.9
Space-group type: Cmcm (63)

#2
Entry from the Alexandria database: a relaxed structure of AlZn4Ag6 (PBE).

Cell lengths 6.6653, 6.6653, 6.6653 Å; angles 118.17, 118.17, 93.20 degrees
Last column: nearest neighbours and their distance in Å.
Atoms (fractional coordinates):
Al1 0.0000 0.0000 0.0000  4 Ag 2.75
Zn1 0.2717 0.2717 0.6528  6 Ag 2.55-2.79, 2 Zn 2.58
Zn2 0.3811 0.7283 0.0000  6 Ag 2.55-2.79, 2 Zn 2.58
Zn3 0.6189 0.6189 0.3472  6 Ag 2.55-2.79, 2 Zn 2.58
Zn4 0.7283 0.3811 0.0000  6 Ag 2.55-2.79, 2 Zn 2.58
Ag1 0.0000 0.5000 0.5000  4 Zn 2.58
Ag2 0.1110 0.4031 0.0000  4 Zn 2.55-2.79, 1 Al 2.75, 1 Ag 2.83
Ag3 0.4031 0.1110 0.0000  4 Zn 2.55-2.79, 1 Al 2.75, 1 Ag 2.83
Ag4 0.5000 0.0000 0.5000  4 Zn 2.58
Ag5 0.5969 0.5969 0.7079  4 Zn 2.55-2.79, 1 Al 2.75, 1 Ag 2.83
Ag6 0.8890 0.8890 0.2921  4 Zn 2.55-2.79, 1 Al 2.75, 1 Ag 2.83

## Properties
Spin magnetization, μB per formula unit: 0.0
Volume, Å³/f.u.: 214.8
Space-group type: I-42m (121)

Result of the stability comparison: #1 is the most stable of them.

#1
Entry from the Alexandria database: a relaxed structure of Al2Zn3Ag8 (PBE).

Cell lengths 6.8914, 6.8914, 5.3970 Å; angles 97.26, 97.26, 66.95 degrees
Last column: nearest neighbours and their distance in Å.
Atoms (fractional coordinates):
Al1 0.1995 0.1995 0.2855  7 Ag 2.61-2.79, 3 Zn 2.72-2.88
Al2 0.8005 0.8005 0.7145  7 Ag 2.61-2.79, 3 Zn 2.72-2.88
Zn1 0.0000 0.0000 0.5000  6 Ag 2.57-2.81, 2 Al 2.72
Zn2 0.1742 0.8258 0.0000  1 Zn 2.65, 6 Ag 2.69-2.95, 2 Al 2.88
Zn3 0.8258 0.1742 0.0000  1 Zn 2.65, 6 Ag 2.69-2.95, 2 Al 2.88
Ag1 0.1892 0.5674 0.5783  2 Al 2.67-2.79, 2 Zn 2.69-2.81, 3 Ag 2.87-2.95
Ag2 0.1956 0.1956 0.8013  1 Zn 2.57, 2 Al 2.61-2.79, 1 Ag 2.81
Ag3 0.4093 0.4093 0.1330  1 Al 2.66, 4 Ag 2.71-2.87, 2 Zn 2.82
Ag4 0.4326 0.8108 0.4217  2 Al 2.67-2.79, 2 Zn 2.69-2.81, 3 Ag 2.87-2.95
Ag5 0.5674 0.1892 0.5783  2 Al 2.67-2.79, 2 Zn 2.69-2.81, 3 Ag 2.87-2.95
Ag6 0.5907 0.5907 0.8670  1 Al 2.66, 4 Ag 2.71-2.87, 2 Zn 2.82
Ag7 0.8044 0.8044 0.1987  1 Zn 2.57, 2 Al 2.61-2.79, 1 Ag 2.81
Ag8 0.8108 0.4326 0.4217  2 Al 2.67-2.79, 2 Zn 2.69-2.81, 3 Ag 2.87-2.95

## Properties
Spin magnetization, μB per formula unit: 0.0
Volume, Å³/f.u.: 233.1
Space-group type: C2/m (12)

#2
Entry from the Alexandria database: a relaxed structure of Al2Zn3Ag8 (PBE).

Cell lengths 7.4987, 4.4472, 7.6331 Å; angles 90.00, 109.27, 90.00 degrees
Last column: nearest neighbours and their distance in Å.
Atoms (fractional coordinates):
Al1 0.2441 0.0000 0.2496  8 Ag 2.62-2.74
Al2 0.7559 0.0000 0.7504  8 Ag 2.62-2.74
Zn1 0.0000 0.0000 0.5000  8 Ag 2.73-2.79, 2 Al 3.05
Zn2 0.2454 0.5000 0.7476  8 Ag 2.69-2.74
Zn3 0.7546 0.5000 0.2524  8 Ag 2.69-2.74
Ag1 0.1360 0.0000 0.8869  2 Al 2.62-2.69, 3 Zn 2.71-2.79
Ag2 0.1404 0.5000 0.3711  2 Al 2.62, 4 Zn 2.72-2.78
Ag3 0.3740 0.5000 0.1236  2 Zn 2.69-2.71, 2 Al 2.73, 1 Ag 2.97
Ag4 0.3862 0.0000 0.6303  2 Al 2.62-2.74, 3 Zn 2.73-2.74
Ag5 0.6138 0.0000 0.3697  2 Al 2.62-2.74, 3 Zn 2.73-2.74
Ag6 0.6260 0.5000 0.8764  2 Zn 2.69-2.71, 2 Al 2.73, 1 Ag 2.97
Ag7 0.8596 0.5000 0.6289  2 Al 2.62, 4 Zn 2.72-2.78
Ag8 0.8640 0.0000 0.1131  2 Al 2.62-2.69, 3 Zn 2.71-2.79

## Properties
Spin magnetization, μB per formula unit: 0.0
Volume, Å³/f.u.: 240.3
Space-group type: P2/m (10)

Result of the stability comparison: #1 is the most stable of them.